Entry 1:
# CaRe2Te

Crystalline CaRe2Te at its relaxed geometry (PBE-GGA, the Alexandria database).

**Density**: 10174 kg/m3
**Electronic total energy**: -6.981 eV per atom
**Magnetization**: 0.00 μB per cell

a b c (Å): 5.679 5.679 5.679
angles (deg): 143.06 125.61 67.57
Positions (direct):
Ca  0.000  0.000  0.000
Re  0.314  0.814  0.500
Re  0.483  0.483  0.000
Te  0.722  0.222  0.500

=====

Entry 2:
# AcIn4Ag2Pd

Crystalline AcIn4Ag2Pd at its relaxed geometry (PBE-GGA, the Alexandria database).

**E_form**: -2.3 eV per formula unit
**Density**: 8775 kg/m3
**Electronic total energy**: -3.535 eV per atom
**Magnetization**: 0.00 μB per cell

a b c (Å): 10.185 10.185 10.185
angles (deg): 26.91 26.91 26.91
Positions (direct):
Ac  0.000  0.000  0.000
In  0.133  0.133  0.133
In  0.403  0.403  0.403
In  0.597  0.597  0.597
In  0.867  0.867  0.867
Ag  0.242  0.242  0.242
Ag  0.758  0.758  0.758
Pd  0.500  0.500  0.500

=====

Entry 3:
# Ac2TcGe2

Crystalline Ac2TcGe2 at its relaxed geometry (PBE-GGA, the Alexandria database).

**E_form**: -2.3 eV per formula unit
**Density**: 8110 kg/m3
**Electronic total energy**: -6.031 eV per atom
**Magnetization**: 0.00 μB per cell

a b c (Å): 8.083 8.083 8.083
angles (deg): 130.47 70.26 133.52
Positions (direct):
Ac  0.142  0.200  0.342
Ac  0.358  0.700  0.058
Ac  0.642  0.300  0.942
Ac  0.858  0.800  0.658
Tc  0.250  0.750  0.500
Tc  0.750  0.250  0.500
Ge  0.102  0.711  0.812
Ge  0.398  0.211  0.609
Ge  0.602  0.789  0.391
Ge  0.898  0.289  0.188

=====

Entry 4:
# Ta2TcAg

Crystalline Ta2TcAg at its relaxed geometry (PBE-GGA, the Alexandria database).

**E_form**: 0.6 eV per formula unit
**Density**: 13845 kg/m3
**Electronic total energy**: -9.082 eV per atom
**Magnetization**: 0.00 μB per cell

a b c (Å): 4.620 4.620 3.224
angles (deg): 90.00 90.00 98.38
Positions (direct):
Ta  0.000  0.500  0.000
Ta  0.500  0.000  0.000
Tc  0.000  0.000  0.500
Ag  0.500  0.500  0.500

=====

Entry 5:
# Pu2Tl3BiSe6

Crystalline Pu2Tl3BiSe6 at its relaxed geometry (PBE-GGA, the Alexandria database).

**Density**: 8142 kg/m3
**Electronic total energy**: -5.929 eV per atom
**Magnetization**: 10.00 μB per cell

a b c (Å): 7.383 7.383 8.088
angles (deg): 98.74 98.74 119.99
Positions (direct):
Pu  0.167  0.833  0.000
Pu  0.833  0.167  0.000
Tl  0.000  0.000  0.500
Tl  0.333  0.667  0.500
Tl  0.667  0.333  0.500
Bi  0.500  0.500  0.000
Se  0.089  0.431  0.792
Se  0.227  0.227  0.208
Se  0.431  0.089  0.792
Se  0.569  0.911  0.208
Se  0.773  0.773  0.792
Se  0.911  0.569  0.208

=====

Entry 6:
# LaHo4Sc7

Crystalline LaHo4Sc7 at its relaxed geometry (PBE-GGA, the Alexandria database).

**E_form**: 3.2 eV per formula unit
**Density**: 5392 kg/m3
**Electronic total energy**: -5.366 eV per atom
**Magnetization**: 0.00 μB per cell

a b c (Å): 6.343 6.343 12.153
angles (deg): 114.43 114.43 52.18
Positions (direct):
La  0.000  0.000  0.000
Ho  0.146  0.146  0.774
Ho  0.414  0.414  0.695
Ho  0.586  0.586  0.305
Ho  0.854  0.854  0.226
Sc  0.126  0.126  0.483
Sc  0.290  0.290  0.082
Sc  0.334  0.334  0.374
Sc  0.500  0.500  0.000
Sc  0.666  0.666  0.626
Sc  0.710  0.710  0.918
Sc  0.874  0.874  0.517

=====

Entry 7:
# Y2CdAg4

Crystalline Y2CdAg4 at its relaxed geometry (PBE-GGA, the Alexandria database).

**E_form**: -1.5 eV per formula unit
**Density**: 7790 kg/m3
**Electronic total energy**: -3.827 eV per atom
**Magnetization**: 0.00 μB per cell

a b c (Å): 5.296 5.296 6.925
angles (deg): 99.28 99.28 53.65
Positions (direct):
Y  0.206  0.206  0.179
Y  0.794  0.794  0.821
Cd  0.500  0.500  0.000
Ag  0.093  0.093  0.695
Ag  0.381  0.381  0.590
Ag  0.619  0.619  0.410
Ag  0.907  0.907  0.305

=====

Entry 8:
# Rb3Ti2Te4

Crystalline Rb3Ti2Te4 at its relaxed geometry (PBE-GGA, the Alexandria database).

**Density**: 3867 kg/m3
**Electronic total energy**: -4.287 eV per atom
**Magnetization**: 6.02 μB per cell

a b c (Å): 9.843 9.843 7.996
angles (deg): 95.24 95.24 74.28
Positions (direct):
Rb  0.096  0.904  0.750
Rb  0.240  0.507  0.437
Rb  0.493  0.760  0.063
Rb  0.507  0.240  0.937
Rb  0.760  0.493  0.563
Rb  0.904  0.096  0.250
Ti  0.083  0.341  0.939
Ti  0.341  0.083  0.439
Ti  0.659  0.917  0.561
Ti  0.917  0.659  0.061
Te  0.118  0.237  0.614
Te  0.192  0.570  0.977
Te  0.237  0.118  0.114
Te  0.430  0.808  0.523
Te  0.570  0.192  0.477
Te  0.763  0.882  0.886
Te  0.808  0.430  0.023
Te  0.882  0.763  0.386

=====

Entry 9:
# CuBMo3

Crystalline CuBMo3 at its relaxed geometry (PBE-GGA, the Alexandria database).

**E_form**: 11.6 eV per formula unit
**Density**: 6866 kg/m3
**Electronic total energy**: -6.334 eV per atom
**Magnetization**: 0.00 μB per cell

a b c (Å): 4.441 4.441 4.441
angles (deg): 90.00 90.00 90.00
Positions (direct):
Cu  0.000  0.000  0.000
B  0.500  0.500  0.500
Mo  0.000  0.000  0.500
Mo  0.000  0.500  0.000
Mo  0.500  0.000  0.000

=====

Entry 10:
# CePuAlRu

Crystalline CePuAlRu at its relaxed geometry (PBE-GGA, the Alexandria database).

**E_form**: -1.1 eV per formula unit
**Density**: 10927 kg/m3
**Electronic total energy**: -8.585 eV per atom
**Magnetization**: 5.38 μB per cell

a b c (Å): 4.792 4.792 4.792
angles (deg): 60.00 60.00 60.00
Positions (direct):
Ce  0.000  0.000  0.000
Pu  0.750  0.750  0.750
Al  0.500  0.500  0.500
Ru  0.250  0.250  0.250

=====

Entry 11:
# Ni8Ru

Crystalline Ni8Ru at its relaxed geometry (PBE-GGA, the Alexandria database).

**E_form**: 0.4 eV per formula unit
**Density**: 9315 kg/m3
**Electronic total energy**: -6.125 eV per atom
**Magnetization**: 6.15 μB per cell

a b c (Å): 5.633 5.633 5.633
angles (deg): 95.74 95.74 143.13
Positions (direct):
Ni  0.000  0.335  0.335
Ni  0.000  0.665  0.665
Ni  0.332  0.332  0.664
Ni  0.332  0.668  0.000
Ni  0.335  0.000  0.335
Ni  0.665  0.000  0.665
Ni  0.668  0.332  0.000
Ni  0.668  0.668  0.336
Ru  0.000  0.000  0.000

=====

Entry 12:
# CaThHgAu

Crystalline CaThHgAu at its relaxed geometry (PBE-GGA, the Alexandria database).

**E_form**: -2.0 eV per formula unit
**Density**: 10609 kg/m3
**Electronic total energy**: -3.752 eV per atom
**Magnetization**: 0.00 μB per cell

a b c (Å): 5.292 5.292 5.292
angles (deg): 60.00 60.00 60.00
Positions (direct):
Ca  0.000  0.000  0.000
Th  0.500  0.500  0.500
Hg  0.250  0.250  0.250
Au  0.750  0.750  0.750

=====

What is the density in the tenth record?
10927 kg/m3

=====

Which of these has the highest electronic total energy?
AcIn4Ag2Pd

=====

What is the formula in the seventh record?
Y2CdAg4